# SnPtPbO6

SnPtPbO6 after structural relaxation (PBE-GGA, the Alexandria database).

Cell: 4.8336 4.8336 9.9149 Å, 90.00 90.00 90.00°
Space group P4_2nm (No. 102)
Inequivalent atoms, fractional coordinates:
Sn: 0.0000 0.0000 0.0000
Pt: 0.0000 0.0000 0.6651
Pb: 0.0000 0.0000 0.3311
O: 0.1798 0.1798 0.8286
O: 0.1915 0.1915 0.5088
O: 0.2022 0.2022 0.1588

Properties
raw formation energy	-963	meV/atom
total magnetic moment	0.00	Bohr magnetons per cell
N(E_F)	2.81	states/eV/cell